Record 1
First-principles (PBE) data for a relaxed PmTiCl6 crystal, as listed in Alexandria via LeMat-Bulk.

extended XYZ file:
```
8
Lattice="6.585 0.009 0.010 3.286 5.703 0.014 3.284 1.897 5.931" Properties=species:S:1:pos:R:3 pbc="T T T"
Cl 5.282 5.645 1.413
Cl 8.821 4.010 1.418
Cl 7.520 5.844 4.548
Cl 4.334 3.599 4.538
Cl 5.635 1.766 1.408
Ti 0.000 0.000 0.000
Pm 6.577 3.805 2.978
Cl 7.873 1.965 4.543
```

***

Record 2
First-principles (PBE) data for a relaxed SiNi2SbN crystal, as listed in Alexandria via LeMat-Bulk.

extended XYZ file:
```
5
Lattice="3.802 0.000 0.000 0.000 4.931 0.000 0.000 0.000 3.802" Properties=species:S:1:pos:R:3 pbc="T T T"
Ni 1.901 0.000 0.000
Ni 0.000 0.000 1.901
Si 1.901 2.465 1.901
Sb 0.000 2.465 0.000
N 0.000 0.000 0.000
```

***

Record 3
First-principles (PBE) data for a relaxed Ac2UCoS6 crystal, as listed in Alexandria via LeMat-Bulk.

extended XYZ file:
```
10
Lattice="-6.243 0.600 2.394 -1.950 -5.731 -3.638 5.613 -0.277 4.276" Properties=species:S:1:pos:R:3 pbc="T T T"
S 0.560 -1.809 1.459
S -5.952 -4.379 -0.901
Ac -2.208 -1.047 2.824
S -2.541 -4.252 -1.864
Co -0.631 0.320 6.668
Ac -0.374 -4.365 0.203
S -3.143 -3.604 1.569
S 3.370 -1.034 3.929
S -0.041 -1.161 4.891
U 1.515 -2.845 3.652
```

***

Record 4
First-principles (PBE) data for a relaxed BaNa2GaS4 crystal, as listed in Alexandria via LeMat-Bulk.

extended XYZ file:
```
8
Lattice="7.234 0.000 0.000 3.617 5.305 -0.504 3.617 0.086 5.328" Properties=species:S:1:pos:R:3 pbc="T T T"
Ba 0.000 0.000 0.000
S 12.229 4.530 2.430
S 2.239 2.475 0.591
Na 7.234 1.392 3.869
Na 7.234 4.000 0.955
Ga 3.617 2.696 2.412
S 4.995 0.862 2.394
S 9.472 2.917 4.233
```

***

| no. | formation energy without anion corrections (eV per atom) | density of states at the Fermi level (states/eV per atom) |
| --- | --- | --- |
| 1 | -1.850 | 0.763 |
| 2 | 0.436 | 0.506 |
| 3 | -1.518 | 0.011 |
| 4 | -1.082 | 1.207 |